# PBE-GGA ScBiRu2, optimized geometry
data_ScBiRu2
_chemical_formula_sum 'Sc1 Bi1 Ru2'
_cell_length_a 6.091
_cell_length_b 6.091
_cell_length_c 6.091
_cell_angle_alpha 56.22
_cell_angle_beta 151.62
_cell_angle_gamma 132.55
_space_group_name_H-M_alt 'P 1'
_space_group_IT_number 1
loop_
_space_group_symop_operation_xyz
'x,y,z'
loop_
_atom_site_label
_atom_site_type_symbol
_atom_site_fract_x
_atom_site_fract_y
_atom_site_fract_z
Ru1 Ru 0.000 0.232 0.232
Bi1 Bi 0.000 0.500 0.500
Sc1 Sc 0.000 0.000 0.000
Ru2 Ru 0.000 0.768 0.768
# * calculated formation energy: 257 kJ/mol of formula units
# * VASP energy: -26.10 eV per cell
# * symmetry: Immm (71)

***

# PBE-GGA Ni2TeIr, optimized geometry
data_Ni2TeIr
_chemical_formula_sum 'Ni2 Te1 Ir1'
_cell_length_a 4.349
_cell_length_b 4.349
_cell_length_c 4.349
_cell_angle_alpha 60.00
_cell_angle_beta 60.00
_cell_angle_gamma 60.00
_space_group_name_H-M_alt 'P 1'
_space_group_IT_number 1
loop_
_space_group_symop_operation_xyz
'x,y,z'
loop_
_atom_site_label
_atom_site_type_symbol
_atom_site_fract_x
_atom_site_fract_y
_atom_site_fract_z
Ni1 Ni 0.000 0.000 0.000
Ni2 Ni 0.250 0.250 0.250
Te1 Te 0.750 0.750 0.750
Ir1 Ir 0.500 0.500 0.500
# * ΔE_f (raw): 5.267 kcal/mol of atoms
# * VASP energy: -22.65 eV per cell
# * symmetry: F-43m (216)

***

# PBE-GGA PmSb2Mo, optimized geometry
data_PmSb2Mo
_chemical_formula_sum 'Pm1 Sb2 Mo1'
_cell_length_a 5.051
_cell_length_b 5.051
_cell_length_c 5.051
_cell_angle_alpha 60.00
_cell_angle_beta 60.00
_cell_angle_gamma 60.00
_space_group_name_H-M_alt 'P 1'
_space_group_IT_number 1
loop_
_space_group_symop_operation_xyz
'x,y,z'
loop_
_atom_site_label
_atom_site_type_symbol
_atom_site_fract_x
_atom_site_fract_y
_atom_site_fract_z
Pm1 Pm 0.000 0.000 0.000
Sb1 Sb 0.250 0.250 0.250
Sb2 Sb 0.750 0.750 0.750
Mo1 Mo 0.500 0.500 0.500
# * ΔE_f (raw): -3.901 kcal/mol of atoms
# * VASP energy: -24.50 eV per cell
# * symmetry: Fm-3m (225)

***

# PBE-GGA K2HfRuC, optimized geometry
data_K2HfRuC
_chemical_formula_sum 'K2 Hf1 Ru1 C1'
_cell_length_a 6.461
_cell_length_b 3.717
_cell_length_c 6.461
_cell_angle_alpha 90.00
_cell_angle_beta 90.00
_cell_angle_gamma 90.00
_space_group_name_H-M_alt 'P 1'
_space_group_IT_number 1
loop_
_space_group_symop_operation_xyz
'x,y,z'
loop_
_atom_site_label
_atom_site_type_symbol
_atom_site_fract_x
_atom_site_fract_y
_atom_site_fract_z
Ru1 Ru 0.000 0.000 0.000
C1 C 0.000 0.500 0.000
K1 K 0.500 0.000 0.000
Hf1 Hf 0.500 0.500 0.500
K2 K 0.000 0.000 0.500
# * calculated formation energy: 803 kJ/mol of formula units
# * VASP energy: -22.33 eV per cell
# * symmetry: P4/mmm (123)

***

# PBE-GGA TiH2SO6, optimized geometry
data_TiH2SO6
_chemical_formula_sum 'Ti4 H8 S4 O24'
_cell_length_a 5.161
_cell_length_b 8.794
_cell_length_c 10.098
_cell_angle_alpha 90.00
_cell_angle_beta 90.00
_cell_angle_gamma 90.00
_space_group_name_H-M_alt 'P 1'
_space_group_IT_number 1
loop_
_space_group_symop_operation_xyz
'x,y,z'
loop_
_atom_site_label
_atom_site_type_symbol
_atom_site_fract_x
_atom_site_fract_y
_atom_site_fract_z
Ti1 Ti 0.237 0.708 0.381
O1 O 0.463 0.762 0.519
O2 O 0.720 0.609 0.040
Ti2 Ti 0.263 0.292 0.881
H1 H 0.900 0.931 0.022
S1 S 0.739 0.423 0.682
S2 S 0.261 0.923 0.818
O3 O 0.747 0.408 0.208
O4 O 0.037 0.238 0.019
O5 O 0.436 0.151 0.234
O6 O 0.936 0.349 0.766
O7 O 0.753 0.023 0.566
O8 O 0.064 0.849 0.734
O9 O 0.220 0.891 0.960
Ti3 Ti 0.737 0.792 0.619
O10 O 0.564 0.651 0.266
O11 O 0.247 0.523 0.934
O12 O 0.963 0.738 0.481
H2 H 0.100 0.431 0.478
O13 O 0.753 0.592 0.708
O14 O 0.537 0.262 0.981
S3 S 0.239 0.077 0.318
O15 O 0.974 0.129 0.280
H3 H 0.914 0.073 0.537
O16 O 0.253 0.908 0.292
O17 O 0.247 0.092 0.792
O18 O 0.026 0.629 0.220
H4 H 0.586 0.927 0.037
H5 H 0.600 0.069 0.522
O19 O 0.526 0.871 0.780
O20 O 0.747 0.977 0.066
Ti4 Ti 0.763 0.208 0.119
H6 H 0.400 0.569 0.978
O21 O 0.474 0.371 0.720
O22 O 0.253 0.477 0.434
S4 S 0.761 0.577 0.182
O23 O 0.280 0.109 0.460
H7 H 0.414 0.427 0.463
H8 H 0.086 0.573 0.963
O24 O 0.780 0.391 0.540
# * VASP energy: -263.87 eV per cell
# * symmetry: P2_12_12_1 (19)

***

# PBE-GGA BaLiCd2Pb, optimized geometry
data_BaLiCd2Pb
_chemical_formula_sum 'Ba1 Li1 Cd2 Pb1'
_cell_length_a 5.210
_cell_length_b 5.210
_cell_length_c 5.363
_cell_angle_alpha 90.00
_cell_angle_beta 90.00
_cell_angle_gamma 90.00
_space_group_name_H-M_alt 'P 1'
_space_group_IT_number 1
loop_
_space_group_symop_operation_xyz
'x,y,z'
loop_
_atom_site_label
_atom_site_type_symbol
_atom_site_fract_x
_atom_site_fract_y
_atom_site_fract_z
Cd1 Cd 0.000 0.500 0.000
Li1 Li 0.000 0.000 0.000
Cd2 Cd 0.500 0.000 0.000
Pb1 Pb 0.000 0.000 0.500
Ba1 Ba 0.500 0.500 0.500
# * calculated formation energy: -106 kJ/mol of formula units
# * VASP energy: -10.47 eV per cell
# * symmetry: P4/mmm (123)

***

# PBE-GGA Cs2TiMo, optimized geometry
data_Cs2TiMo
_chemical_formula_sum 'Cs2 Ti1 Mo1'
_cell_length_a 6.623
_cell_length_b 6.623
_cell_length_c 6.623
_cell_angle_alpha 60.00
_cell_angle_beta 60.00
_cell_angle_gamma 60.00
_space_group_name_H-M_alt 'P 1'
_space_group_IT_number 1
loop_
_space_group_symop_operation_xyz
'x,y,z'
loop_
_atom_site_label
_atom_site_type_symbol
_atom_site_fract_x
_atom_site_fract_y
_atom_site_fract_z
Cs1 Cs 0.750 0.750 0.750
Ti1 Ti 0.000 0.000 0.000
Mo1 Mo 0.500 0.500 0.500
Cs2 Cs 0.250 0.250 0.250
# * calculated formation energy: 801 kJ/mol of formula units
# * VASP energy: -12.13 eV per cell
# * symmetry: Fm-3m (225)

***

# PBE-GGA Cs2Tl2HgBr6, optimized geometry
data_Cs2Tl2HgBr6
_chemical_formula_sum 'Cs2 Tl2 Hg1 Br6'
_cell_length_a 8.463
_cell_length_b 8.463
_cell_length_c 7.980
_cell_angle_alpha 100.40
_cell_angle_beta 100.40
_cell_angle_gamma 117.13
_space_group_name_H-M_alt 'P 1'
_space_group_IT_number 1
loop_
_space_group_symop_operation_xyz
'x,y,z'
loop_
_atom_site_label
_atom_site_type_symbol
_atom_site_fract_x
_atom_site_fract_y
_atom_site_fract_z
Br1 Br 0.159 0.159 0.283
Br2 Br 0.387 0.075 0.754
Cs1 Cs 0.658 0.342 0.500
Br3 Br 0.925 0.613 0.246
Hg1 Hg 0.000 0.000 0.500
Tl1 Tl 0.195 0.805 0.000
Cs2 Cs 0.342 0.658 0.500
Br4 Br 0.841 0.841 0.717
Br5 Br 0.613 0.925 0.246
Tl2 Tl 0.805 0.195 0.000
Br6 Br 0.075 0.387 0.754
# * ΔE_f (raw): -24.296 kcal/mol of atoms
# * VASP energy: -28.37 eV per cell
# * symmetry: C2/m (12)

***

The records above yield density values of 9.63, 12.48, 8.83, 3.96, 2.58, 6.57, 3.31, 4.71 g/cm3, respectively.